No. 1
Entry from Alexandria: a relaxed structure of CaHoGaIr (GGA-PBE).

Values from the calculation:
Density of states at the Fermi level: 2.8 states/eV/f.u.
ΔE_f: -501 meV/atom
V: 21.238 Å³/atom

Lattice parameters (Å, degrees): 4.934 4.934 4.934 60.00 60.00 60.00
Fractional positions:
Ga (0.250, 0.250, 0.250)
Ir (0.750, 0.750, 0.750)
Ca (0.000, 0.000, 0.000)
Ho (0.500, 0.500, 0.500)

No. 2
Entry from Alexandria: a relaxed structure of LiCaHoGa (GGA-PBE).

Values from the calculation:
Density of states at the Fermi level: 3.1 states/eV/f.u.
ΔE_f: -262 meV/atom
V: 24.348 Å³/atom

Lattice parameters (Å, degrees): 5.164 5.164 5.164 60.00 60.00 60.00
Fractional positions:
Li (0.750, 0.750, 0.750)
Ca (0.500, 0.500, 0.500)
Ga (0.250, 0.250, 0.250)
Ho (0.000, 0.000, 0.000)

No. 3
Entry from Alexandria: a relaxed structure of CaHoMgGa (GGA-PBE).

Values from the calculation:
Density of states at the Fermi level: 1.9 states/eV/f.u.
ΔE_f: -283 meV/atom
V: 25.345 Å³/atom

Lattice parameters (Å, degrees): 5.234 5.234 5.234 60.00 60.00 60.00
Fractional positions:
Ca (0.500, 0.500, 0.500)
Ga (0.250, 0.250, 0.250)
Mg (0.750, 0.750, 0.750)
Ho (0.000, 0.000, 0.000)

No. 4
Entry from Alexandria: a relaxed structure of NaCaHoGa (GGA-PBE).

Values from the calculation:
Density of states at the Fermi level: 3.4 states/eV/f.u.
ΔE_f: -115 meV/atom
V: 26.455 Å³/atom

Lattice parameters (Å, degrees): 5.309 5.309 5.309 60.00 60.00 60.00
Fractional positions:
Na (0.750, 0.750, 0.750)
Ca (0.000, 0.000, 0.000)
Ho (0.500, 0.500, 0.500)
Ga (0.250, 0.250, 0.250)

No. 5
Entry from Alexandria: a relaxed structure of CaHoGaNi (GGA-PBE).

Values from the calculation:
Density of states at the Fermi level: 2.3 states/eV/f.u.
ΔE_f: -313 meV/atom
V: 21.442 Å³/atom

Lattice parameters (Å, degrees): 4.950 4.950 4.950 60.00 60.00 60.00
Fractional positions:
Ni (0.250, 0.250, 0.250)
Ga (0.750, 0.750, 0.750)
Ho (0.000, 0.000, 0.000)
Ca (0.500, 0.500, 0.500)

No. 6
Entry from Alexandria: a relaxed structure of CaHoGaO4 (GGA-PBE).

Values from the calculation:
Density of states at the Fermi level: 0.0 states/eV/f.u.
Uncorrected formation energy: -2.69 eV per atom
V: 13.650 Å³/atom

Lattice parameters (Å, degrees): 6.324 6.468 6.468 61.40 60.74 60.74
Fractional positions:
O (0.248, 0.264, 0.241)
Ca (0.500, 0.000, 0.500)
O (0.248, 0.741, 0.764)
Ho (0.000, 0.000, 0.000)
Ga (0.367, 0.383, 0.883)
O (0.752, 0.736, 0.759)
O (0.243, 0.256, 0.756)
O (0.255, 0.744, 0.244)
Ca (0.000, 0.000, 0.500)
O (0.752, 0.259, 0.236)
O (0.745, 0.256, 0.756)
O (0.757, 0.744, 0.244)
Ho (0.000, 0.500, 0.500)
Ga (0.633, 0.617, 0.117)

No. 7
Entry from Alexandria: a relaxed structure of CaHoGaPb (GGA-PBE).

Values from the calculation:
Density of states at the Fermi level: 1.9 states/eV/f.u.
ΔE_f: -419 meV/atom
V: 26.533 Å³/atom

Lattice parameters (Å, degrees): 5.314 5.314 5.314 60.00 60.00 60.00
Fractional positions:
Ga (0.750, 0.750, 0.750)
Ho (0.000, 0.000, 0.000)
Ca (0.500, 0.500, 0.500)
Pb (0.250, 0.250, 0.250)

No. 8
Entry from Alexandria: a relaxed structure of CaHoGa2Pd2 (GGA-PBE).

Values from the calculation:
Density of states at the Fermi level: 2.9 states/eV/f.u.
ΔE_f: -790 meV/atom
V: 20.916 Å³/atom

Lattice parameters (Å, degrees): 4.459 4.459 7.288 90.00 90.00 120.00
Fractional positions:
Ca (0.000, 0.000, 0.000)
Ga (0.667, 0.333, 0.268)
Pd (0.333, 0.667, 0.279)
Pd (0.667, 0.333, 0.721)
Ho (0.000, 0.000, 0.500)
Ga (0.333, 0.667, 0.732)

No. 9
Entry from Alexandria: a relaxed structure of CaHoGa2Pd5 (GGA-PBE).

Values from the calculation:
Density of states at the Fermi level: 4.4 states/eV/f.u.
ΔE_f: -704 meV/atom
V: 18.217 Å³/atom

Lattice parameters (Å, degrees): 4.245 4.245 9.098 90.00 90.00 90.00
Fractional positions:
Ga (0.500, 0.500, 0.864)
Pd (0.500, 0.500, 0.500)
Pd (0.500, 0.000, 0.272)
Ga (0.500, 0.500, 0.136)
Ca (0.000, 0.000, 0.500)
Pd (0.500, 0.000, 0.728)
Ho (0.000, 0.000, 0.000)
Pd (0.000, 0.500, 0.272)
Pd (0.000, 0.500, 0.728)

No. 10
Entry from Alexandria: a relaxed structure of CaHoGaPd (GGA-PBE).

Values from the calculation:
Density of states at the Fermi level: 1.9 states/eV/f.u.
ΔE_f: -617 meV/atom
V: 22.449 Å³/atom

Lattice parameters (Å, degrees): 5.026 5.026 5.026 60.00 60.00 60.00
Fractional positions:
Ga (0.250, 0.250, 0.250)
Pd (0.750, 0.750, 0.750)
Ho (0.000, 0.000, 0.000)
Ca (0.500, 0.500, 0.500)

No. 11
Entry from Alexandria: a relaxed structure of Ca2HoGa3Pd4 (GGA-PBE).

Values from the calculation:
Density of states at the Fermi level: 7.1 states/eV/f.u.
ΔE_f: -740 meV/atom
V: 20.747 Å³/atom

Lattice parameters (Å, degrees): 4.300 4.300 11.220 90.00 90.00 90.00
Fractional positions:
Pd (0.000, 0.000, 0.000)
Pd (0.500, 0.500, 0.000)
Ga (0.000, 0.500, 0.122)
Ca (0.500, 0.000, 0.227)
Ho (0.500, 0.500, 0.500)
Pd (0.500, 0.000, 0.656)
Pd (0.000, 0.500, 0.344)
Ga (0.000, 0.000, 0.500)
Ga (0.500, 0.000, 0.878)
Ca (0.000, 0.500, 0.773)

No. 12
Entry from Alexandria: a relaxed structure of CaHoGaPd (GGA-PBE).

Values from the calculation:
Density of states at the Fermi level: 4.0 states/eV/f.u.
ΔE_f: -641 meV/atom
V: 23.711 Å³/atom

Lattice parameters (Å, degrees): 3.880 4.421 5.860 90.00 109.34 90.00
Fractional positions:
Ho (0.858, 0.500, 0.717)
Pd (0.426, 0.000, 0.851)
Ga (0.570, 0.500, 0.139)
Ca (0.146, 0.000, 0.293)